## TcPtSe (GGA-PBEsol)

Data for crystalline TcPtSe at its relaxed geometry.

Values from the calculation:
Its space group is F-43m, No. 216. The crystal system is cubic.

Cell: 4.195 4.195 4.195 Å, 60.00 60.00 60.00°
Fractional positions:
Tc 0.000 0.000 0.000
Pt 0.250 0.250 0.250
Se 0.750 0.750 0.750



## TcPt2Se (GGA-PBEsol)

Data for crystalline TcPt2Se at its relaxed geometry.

Values from the calculation:
Its space group is Cm, No. 8. The crystal system is monoclinic.

Cell: 4.744 4.744 4.963 Å, 101.67 101.67 35.11°
Fractional positions:
Tc 0.000 0.000 0.000
Pt 0.252 0.252 0.787
Pt 0.491 0.491 0.534
Se 0.698 0.698 0.266



## TcPt2Se (GGA-PBEsol)

Data for crystalline TcPt2Se at its relaxed geometry.

Values from the calculation:
Its space group is Pmmm, No. 47. The crystal system is orthorhombic.

Cell: 2.775 3.949 5.580 Å, 90.00 90.00 90.00°
Fractional positions:
Tc 0.000 0.000 0.000
Pt 0.500 0.500 0.237
Pt 0.500 0.500 0.763
Se 0.000 0.000 0.500



## TcPt2Se (GGA-PBEsol)

Data for crystalline TcPt2Se at its relaxed geometry.

Values from the calculation:
Its space group is P4mm, No. 99. The crystal system is tetragonal.

Cell: 2.853 2.853 7.568 Å, 90.00 90.00 90.00°
Fractional positions:
Tc 0.000 0.000 0.000
Pt 0.000 0.000 0.494
Pt 0.500 0.500 0.239
Se 0.500 0.500 0.793



## TcPtSe2 (GGA-PBEsol)

Data for crystalline TcPtSe2 at its relaxed geometry.

Values from the calculation:
Its space group is Cm, No. 8. The value obtained for the energy relative to the lowest polymorph listed for this composition is 0 meV per atom. The crystal system is monoclinic.

Cell: 5.132 5.132 5.530 Å, 97.53 97.53 33.94°
Fractional positions:
Tc 0.000 0.000 0.000
Pt 0.280 0.280 0.021
Se 0.432 0.432 0.666
Se 0.651 0.651 0.288



## Te2PtSe (GGA-PBEsol)

Data for crystalline Te2PtSe at its relaxed geometry.

Values from the calculation:
Its space group is R-3m, No. 166. The crystal system is trigonal.

Cell: 11.764 11.764 11.764 Å, 14.84 14.84 14.84°
Fractional positions:
Te 0.074 0.074 0.074
Te 0.926 0.926 0.926
Pt 0.000 0.000 0.000
Se 0.500 0.500 0.500



## Te2PtSe (GGA-PBEsol)

Data for crystalline Te2PtSe at its relaxed geometry.

Values from the calculation:
Its space group is R3m, No. 160. The crystal system is trigonal.

Cell: 7.628 7.628 7.628 Å, 29.26 29.26 29.26°
Fractional positions:
Te 0.000 0.000 0.000
Te 0.231 0.231 0.231
Pt 0.734 0.734 0.734
Se 0.459 0.459 0.459



## Te2PtSe (GGA-PBEsol)

Data for crystalline Te2PtSe at its relaxed geometry.

Values from the calculation:
Its space group is R-3m, No. 166. The crystal system is trigonal.

Cell: 8.318 8.318 8.318 Å, 28.12 28.12 28.12°
Fractional positions:
Te 0.110 0.110 0.110
Te 0.890 0.890 0.890
Pt 0.500 0.500 0.500
Se 0.000 0.000 0.000



## Te2PtSe (GGA-PBEsol)

Data for crystalline Te2PtSe at its relaxed geometry.

Values from the calculation:
Its space group is P4mm, No. 99. The crystal system is tetragonal.

Cell: 3.770 3.770 7.415 Å, 90.00 90.00 90.00°
Fractional positions:
Te 0.000 0.000 0.000
Te 0.500 0.500 0.435
Pt 0.000 0.000 0.347
Se 0.500 0.500 0.887



## Ti3PtSe (GGA-PBEsol)

Data for crystalline Ti3PtSe at its relaxed geometry.

Values from the calculation:
Its space group is Pm-3m, No. 221. The crystal system is cubic.

Cell: 4.519 4.519 4.519 Å, 90.00 90.00 90.00°
Fractional positions:
Ti 0.000 0.000 0.500
Ti 0.000 0.500 0.000
Ti 0.500 0.000 0.000
Pt 0.500 0.500 0.500
Se 0.000 0.000 0.000



## TiPt3Se (GGA-PBEsol)

Data for crystalline TiPt3Se at its relaxed geometry.

Values from the calculation:
Its space group is Pm-3m, No. 221. The crystal system is cubic.

Cell: 4.608 4.608 4.608 Å, 90.00 90.00 90.00°
Fractional positions:
Ti 0.000 0.000 0.000
Pt 0.000 0.500 0.500
Pt 0.500 0.000 0.500
Pt 0.500 0.500 0.000
Se 0.500 0.500 0.500



## TlPt2Se3 (GGA-PBEsol)

Data for crystalline TlPt2Se3 at its relaxed geometry.

Values from the calculation:
Its space group is P-3m1, No. 164. The crystal system is trigonal.

Cell: 7.469 7.469 5.560 Å, 90.00 90.00 120.00°
Fractional positions:
Tl 0.333 0.667 0.350
Tl 0.667 0.333 0.650
Pt 0.000 0.000 0.000
Pt 0.000 0.500 0.000
Pt 0.500 0.000 0.000
Pt 0.500 0.500 0.000
Se 0.169 0.339 0.777
Se 0.169 0.831 0.777
Se 0.339 0.169 0.223
Se 0.661 0.831 0.777
Se 0.831 0.169 0.223
Se 0.831 0.661 0.223



## TlPtSe2 (GGA-PBEsol)

Data for crystalline TlPtSe2 at its relaxed geometry.

Values from the calculation:
Its space group is C2/m, No. 12. The value obtained for the energy relative to the lowest polymorph listed for this composition is 0 meV per atom. The crystal system is monoclinic.

Cell: 5.709 5.709 5.856 Å, 120.36 120.36 36.87°
Fractional positions:
Tl 0.000 0.000 0.000
Pt 0.500 0.500 0.500
Se 0.177 0.177 0.673
Se 0.823 0.823 0.327



## TlPtSe2 (GGA-PBEsol)

Data for crystalline TlPtSe2 at its relaxed geometry.

Values from the calculation:
Its space group is I4/mmm, No. 139. The value obtained for the energy relative to the lowest polymorph listed for this composition is 562 meV per atom. The crystal system is tetragonal.

Cell: 4.741 4.741 4.741 Å, 109.39 109.39 109.63°
Fractional positions:
Tl 0.000 0.000 0.000
Pt 0.500 0.500 0.000
Se 0.250 0.750 0.500
Se 0.750 0.250 0.500



## Tl2PtSe (GGA-PBEsol)

Data for crystalline Tl2PtSe at its relaxed geometry.

Values from the calculation:
Its space group is Fm-3m, No. 225. The value obtained for the energy relative to the lowest polymorph listed for this composition is 277 meV per atom. The crystal system is cubic.

Cell: 4.971 4.971 4.971 Å, 60.00 60.00 60.00°
Fractional positions:
Tl 0.250 0.250 0.250
Tl 0.750 0.750 0.750
Pt 0.000 0.000 0.000
Se 0.500 0.500 0.500



## TlPtSe2 (GGA-PBEsol)

Data for crystalline TlPtSe2 at its relaxed geometry.

Values from the calculation:
Its space group is P4/mmm, No. 123. The value obtained for the energy relative to the lowest polymorph listed for this composition is 478 meV per atom. The crystal system is tetragonal.

Cell: 5.058 5.058 3.087 Å, 90.00 90.00 90.00°
Fractional positions:
Tl 0.000 0.000 0.000
Pt 0.500 0.500 0.000
Se 0.000 0.500 0.500
Se 0.500 0.000 0.500



## TlPtSe2 (GGA-PBEsol)

Data for crystalline TlPtSe2 at its relaxed geometry.

Values from the calculation:
Its space group is P4mm, No. 99. The value obtained for the energy relative to the lowest polymorph listed for this composition is 183 meV per atom. The crystal system is tetragonal.

Cell: 3.435 3.435 8.372 Å, 90.00 90.00 90.00°
Fractional positions:
Tl 0.000 0.000 0.000
Pt 0.500 0.500 0.491
Se 0.000 0.000 0.404
Se 0.500 0.500 0.783



## Tl2PtSe (GGA-PBEsol)

Data for crystalline Tl2PtSe at its relaxed geometry.

Values from the calculation:
Its space group is P4/mmm, No. 123. The value obtained for the energy relative to the lowest polymorph listed for this composition is 227 meV per atom. The crystal system is tetragonal.

Cell: 4.206 4.206 4.934 Å, 90.00 90.00 90.00°
Fractional positions:
Tl 0.000 0.500 0.000
Tl 0.500 0.000 0.000
Pt 0.000 0.000 0.500
Se 0.500 0.500 0.500



## TlPtSe2 (GGA-PBEsol)

Data for crystalline TlPtSe2 at its relaxed geometry.

Values from the calculation:
Its space group is R-3m, No. 166. The value obtained for the energy relative to the lowest polymorph listed for this composition is 501 meV per atom. The crystal system is trigonal.

Cell: 8.158 8.158 8.158 Å, 28.50 28.50 28.50°
Fractional positions:
Tl 0.000 0.000 0.000
Pt 0.500 0.500 0.500
Se 0.402 0.402 0.402
Se 0.598 0.598 0.598



## TlPt2Se (GGA-PBEsol)

Data for crystalline TlPt2Se at its relaxed geometry.

Values from the calculation:
Its space group is F-43m, No. 216. The crystal system is cubic.

Cell: 4.664 4.664 4.664 Å, 60.00 60.00 60.00°
Fractional positions:
Tl 0.000 0.000 0.000
Pt 0.500 0.500 0.500
Pt 0.750 0.750 0.750
Se 0.250 0.250 0.250



## TlPt2Se (GGA-PBEsol)

Data for crystalline TlPt2Se at its relaxed geometry.

Values from the calculation:
Its space group is P4mm, No. 99. The crystal system is tetragonal.

Cell: 3.551 3.551 5.857 Å, 90.00 90.00 90.00°
Fractional positions:
Tl 0.000 0.000 0.000
Pt 0.000 0.000 0.504
Pt 0.500 0.500 0.218
Se 0.500 0.500 0.627



## TlPt2Se (GGA-PBEsol)

Data for crystalline TlPt2Se at its relaxed geometry.

Values from the calculation:
Its space group is C2/m, No. 12. The crystal system is monoclinic.

Cell: 5.532 5.532 2.953 Å, 104.84 104.84 115.11°
Fractional positions:
Tl 0.000 0.000 0.000
Pt 0.000 0.500 0.000
Pt 0.500 0.000 0.000
Se 0.500 0.500 0.000



## TlPtSe2 (GGA-PBEsol)

Data for crystalline TlPtSe2 at its relaxed geometry.

Values from the calculation:
Its space group is I-4m2, No. 119. The value obtained for the energy relative to the lowest polymorph listed for this composition is 586 meV per atom. The crystal system is tetragonal.

Cell: 4.954 4.954 4.954 Å, 125.17 125.17 81.26°
Fractional positions:
Tl 0.000 0.000 0.000
Pt 0.750 0.250 0.500
Se 0.250 0.750 0.500
Se 0.500 0.500 0.000



## Tl2PtSe (GGA-PBEsol)

Data for crystalline Tl2PtSe at its relaxed geometry.

Values from the calculation:
Its space group is Imm2, No. 44. The value obtained for the energy relative to the lowest polymorph listed for this composition is 0 meV per atom. The crystal system is orthorhombic.

Cell: 6.148 6.148 6.148 Å, 151.16 124.42 63.82°
Fractional positions:
Tl 0.000 0.000 0.000
Tl 0.714 0.214 0.500
Pt 0.237 0.737 0.500
Se 0.423 0.423 0.000



## PtWSe2 (GGA-PBEsol)

Data for crystalline PtWSe2 at its relaxed geometry.

Values from the calculation:
Its space group is R-3m, No. 166. The value obtained for the energy relative to the lowest polymorph listed for this composition is 594 meV per atom. The crystal system is trigonal.

Cell: 8.251 8.251 8.251 Å, 23.12 23.12 23.12°
Fractional positions:
Pt 0.000 0.000 0.000
W 0.500 0.500 0.500
Se 0.401 0.401 0.401
Se 0.599 0.599 0.599



## PtWSe (GGA-PBEsol)

Data for crystalline PtWSe at its relaxed geometry.

Values from the calculation:
Its space group is F-43m, No. 216. The crystal system is cubic.

Cell: 4.262 4.262 4.262 Å, 60.00 60.00 60.00°
Fractional positions:
Pt 0.000 0.000 0.000
W 0.250 0.250 0.250
Se 0.500 0.500 0.500



## PtWSe2 (GGA-PBEsol)

Data for crystalline PtWSe2 at its relaxed geometry.

Values from the calculation:
Its space group is Cm, No. 8. The value obtained for the energy relative to the lowest polymorph listed for this composition is 0 meV per atom. The crystal system is monoclinic.

Cell: 5.112 5.112 6.467 Å, 108.08 108.08 33.92°
Fractional positions:
Pt 0.000 0.000 0.000
W 0.307 0.307 0.083
Se 0.643 0.643 0.798
Se 0.827 0.827 0.395



## YPt2Se (GGA-PBEsol)

Data for crystalline YPt2Se at its relaxed geometry.

Values from the calculation:
Its space group is Pm, No. 6. The crystal system is monoclinic.

Cell: 3.621 4.319 5.083 Å, 90.00 92.65 90.00°
Fractional positions:
Y 0.000 0.000 0.000
Pt 0.525 0.000 0.504
Pt 0.540 0.500 0.201
Se 0.418 0.500 0.725



## Y2PtSe (GGA-PBEsol)

Data for crystalline Y2PtSe at its relaxed geometry.

Values from the calculation:
Its space group is Pmmm, No. 47. The crystal system is orthorhombic.

Cell: 3.456 4.692 5.242 Å, 90.00 90.00 90.00°
Fractional positions:
Y 0.000 0.000 0.000
Y 0.000 0.500 0.500
Pt 0.500 0.000 0.500
Se 0.500 0.500 0.000



## YPt2Se (GGA-PBEsol)

Data for crystalline YPt2Se at its relaxed geometry.

Values from the calculation:
Its space group is Pmmm, No. 47. The crystal system is orthorhombic.

Cell: 3.838 4.108 4.545 Å, 90.00 90.00 90.00°
Fractional positions:
Y 0.000 0.000 0.000
Pt 0.000 0.500 0.500
Pt 0.500 0.000 0.500
Se 0.500 0.500 0.000



The evaluated formation energy (no corrections) for the records listed, in turn: 0.160; 0.140; 0.212; 0.068; 0.060; 0.272; -0.162; -0.101; 0.056; -0.012; 0.562; -0.424; -0.186; 0.376; 0.268; 0.292; -0.003; 0.218; 0.315; 0.360; -0.026; 0.280; 0.400; -0.009; 0.591; 0.284; -0.003; -0.782; -1.259; -0.790 eV/atom.
The evaluated spin magnetization for the records listed, in turn: 0.00; 0.00; 0.00; 0.00; 0.00; 0.00; 0.00; 0.00; 0.00; 0.00; 1.65; 0.00; 0.00; 0.00; 0.00; 0.00; 0.00; 0.00; 0.00; 0.00; 0.00; 0.00; 0.00; 0.00; 0.00; 0.00; 0.00; 0.00; 0.00; 0.00 μB per cell.